1.
TcN: relaxed, PBE.

Values from the calculation:
The polymorph energy (0 for the lowest one) is 0.100 eV/atom. As for the symmetry: F-43m. For the energy, the calculation gives -9.24 eV per atom. The uncorrected formation energy is 20 kJ/mol of formula units.

abc: 3.2462 3.2462 3.2462
angles: 60.00 60.00 60.00
Closest atoms and distances in Å follow each position.
Fractional positions:
Tc1 0.0000 0.0000 0.0000  4 N 1.99
N1 0.2500 0.2500 0.2500  4 Tc 1.99

2.
ZrAg2Cl: relaxed, PBE.

Values from the calculation:
The polymorph energy (0 for the lowest one) is 0.190 eV/atom. As for the symmetry: Cm. For the energy, the calculation gives -4.24 eV per atom. The uncorrected formation energy is -82 kJ/mol of formula units.

abc: 5.1394 5.1394 6.0763
angles: 67.10 67.10 35.07
Closest atoms and distances in Å follow each position.
Fractional positions:
Ag1 0.9674 0.9674 0.9487  5 Ag 2.77-3.10, 2 Zr 2.98
Ag2 0.7333 0.7333 0.8055  5 Ag 2.77-3.10, 2 Zr 3.00
Cl1 0.5421 0.5421 0.3766  3 Zr 2.60-2.81
Zr1 0.2572 0.2572 0.3691  3 Cl 2.60-2.81

3.
Li2AlTl: relaxed, PBE.

Values from the calculation:
As for the symmetry: Pmmm. For the energy, the calculation gives -2.60 eV per atom. Its formation energy is -10.72 kJ per mole of atoms.

abc: 4.2702 4.2816 4.0621
angles: 90.00 90.00 90.00
Closest atoms and distances in Å follow each position.
Fractional positions:
Tl1 0.5000 0.0000 0.5000  8 Li 2.95, 4 Al 3.02
Al1 0.0000 0.5000 0.5000  8 Li 2.95, 4 Tl 3.02
Li1 0.0000 0.0000 0.0000  4 Tl 2.95, 4 Al 2.95, 4 Li 3.02
Li2 0.5000 0.5000 0.0000  4 Al 2.95, 4 Tl 2.95, 4 Li 3.02

4.
InAs2BrN: relaxed, PBE.

Values from the calculation:
The polymorph energy (0 for the lowest one) is 0.772 eV/atom. As for the symmetry: P4/mmm. For the energy, the calculation gives -2.85 eV per atom. The uncorrected formation energy is 752 kJ/mol of formula units.

abc: 5.3837 5.3837 5.7401
angles: 90.00 90.00 90.00
Closest atoms and distances in Å follow each position.
Fractional positions:
As1 0.0000 0.5000 0.0000  2 In 2.69
As2 0.5000 0.0000 0.0000  2 In 2.69
N1 0.5000 0.5000 0.5000  4 Br 3.81, 8 As 3.93
Br1 0.0000 0.0000 0.5000  2 In 2.87
In1 0.0000 0.0000 0.0000  4 As 2.69, 2 Br 2.87

5.
TiFeSi2Rh: relaxed, PBE.

Values from the calculation:
As for the symmetry: P4/mmm. For the energy, the calculation gives -5.90 eV per atom. The uncorrected formation energy is 490 kJ/mol of formula units.

abc: 4.6223 4.6223 4.1456
angles: 90.00 90.00 90.00
Closest atoms and distances in Å follow each position.
Fractional positions:
Si1 0.0000 0.5000 0.0000  2 Ti 2.31
Si2 0.5000 0.0000 0.0000  2 Ti 2.31
Rh1 0.5000 0.5000 0.5000  8 Si 3.10, 4 Fe 3.27
Fe1 0.0000 0.0000 0.5000  2 Ti 2.07
Ti1 0.0000 0.0000 0.0000  2 Fe 2.07, 4 Si 2.31

6.
Ba2PaMnS5: relaxed, PBE.

Values from the calculation:
As for the symmetry: Cmc2_1. For the energy, the calculation gives -6.44 eV per atom. The uncorrected formation energy is -1425 kJ/mol of formula units.

abc: 4.1780 9.1949 12.9429
angles: 90.00 90.00 103.13
Closest atoms and distances in Å follow each position.
Fractional positions:
Ba1 0.8789 0.7579 0.8255  7 S 3.08-3.41
Ba2 0.1116 0.2232 0.6875  5 S 3.12-3.32
Ba3 0.1211 0.2421 0.3255  7 S 3.08-3.41
Ba4 0.8884 0.7768 0.1875  5 S 3.12-3.32
Pa1 0.8020 0.6040 0.5178  6 S 2.64-2.76
Pa2 0.1980 0.3960 0.0178  6 S 2.64-2.76
Mn1 0.5622 0.1244 0.9394  4 S 2.33-2.46
Mn2 0.4378 0.8756 0.4394  4 S 2.33-2.46
S1 0.3454 0.6908 0.0088  1 Pa 2.64
S2 0.6924 0.3847 0.8784  1 Mn 2.46
S3 0.5013 0.0027 0.7803  1 Mn 2.33
S4 0.2956 0.5911 0.6559  2 Pa 2.75
S5 0.9513 0.9026 0.5303  2 Mn 2.41, 1 Pa 2.68
S6 0.6546 0.3092 0.5088  1 Pa 2.64
S7 0.3076 0.6153 0.3784  1 Mn 2.46
S8 0.4987 0.9973 0.2803  1 Mn 2.33
S9 0.7044 0.4089 0.1559  2 Pa 2.75
S10 0.0487 0.0974 0.0303  2 Mn 2.41, 1 Pa 2.68

7.
Zn3InSi: relaxed, PBE.

Values from the calculation:
The polymorph energy (0 for the lowest one) is 0.576 eV/atom. As for the symmetry: Pm-3m. For the energy, the calculation gives -1.47 eV per atom. The uncorrected formation energy is 446 kJ/mol of formula units.

abc: 5.0602 5.0602 5.0602
angles: 90.00 90.00 90.00
Closest atoms and distances in Å follow each position.
Fractional positions:
Zn1 0.0000 0.5000 0.0000  2 In 2.53
Zn2 0.0000 0.0000 0.5000  2 In 2.53
Zn3 0.5000 0.0000 0.0000  2 In 2.53
Si1 0.5000 0.5000 0.5000  12 Zn 3.58
In1 0.0000 0.0000 0.0000  6 Zn 2.53

8.
Li3Er3ScS8: relaxed, PBE.

Values from the calculation:
As for the symmetry: R-3m. For the energy, the calculation gives -5.66 eV per atom. The uncorrected formation energy is -2515 kJ/mol of formula units.

abc: 7.7122 7.7116 7.5401
angles: 120.78 90.00 120.00
Closest atoms and distances in Å follow each position.
Fractional positions:
Li1 0.0000 0.0000 0.0000  6 S 2.69
Li2 0.0000 0.5000 0.0000  6 S 2.69
Li3 0.5000 0.5000 0.0000  6 S 2.69
Er1 0.5000 0.0000 0.5000  6 S 2.70-2.71
Er2 0.5000 0.5000 0.5000  6 S 2.70-2.71
Er3 0.0000 0.5000 0.5000  6 S 2.70-2.71
Sc1 0.0000 0.0000 0.5000  6 S 2.60
S1 0.2490 0.4981 0.2473  3 Li 2.69, 3 Er 2.71
S2 0.7510 0.5019 0.7527  3 Li 2.69, 3 Er 2.71
S3 0.7592 0.5185 0.2585  1 Sc 2.60, 2 Li 2.69, 2 Er 2.70
S4 0.2408 0.4815 0.7415  1 Sc 2.60, 2 Li 2.69, 2 Er 2.70
S5 0.7592 0.9992 0.2586  1 Sc 2.60, 2 Li 2.69, 2 Er 2.70
S6 0.2408 0.0008 0.7414  1 Sc 2.60, 2 Li 2.69, 2 Er 2.70
S7 0.2399 0.9992 0.2586  1 Sc 2.60, 2 Li 2.69, 2 Er 2.70
S8 0.7601 0.0008 0.7414  1 Sc 2.60, 2 Li 2.69, 2 Er 2.70

9.
Sc2Cu2Bi: relaxed, PBE.

Values from the calculation:
The polymorph energy (0 for the lowest one) is 0.000 eV/atom. As for the symmetry: P4/mbm. For the energy, the calculation gives -5.29 eV per atom. Its formation energy is -33.46 kJ per mole of atoms.

abc: 7.0892 7.0892 3.8509
angles: 90.00 90.00 90.00
Closest atoms and distances in Å follow each position.
Fractional positions:
Sc1 0.1646 0.6646 0.5000  6 Cu 2.81-2.88
Sc2 0.6646 0.8354 0.5000  6 Cu 2.81-2.88
Sc3 0.8354 0.3354 0.5000  6 Cu 2.81-2.88
Sc4 0.3354 0.1646 0.5000  6 Cu 2.81-2.88
Bi1 0.0000 0.0000 0.0000  4 Cu 2.82
Bi2 0.5000 0.5000 0.0000  4 Cu 2.82
Cu1 0.3787 0.8787 0.0000  1 Cu 2.43
Cu2 0.8787 0.6213 0.0000  1 Cu 2.43
Cu3 0.6213 0.1213 0.0000  1 Cu 2.43
Cu4 0.1213 0.3787 0.0000  1 Cu 2.43

10.
Sr2MnFe: relaxed, PBE.

Values from the calculation:
The polymorph energy (0 for the lowest one) is 0.603 eV/atom. As for the symmetry: R-3m. For the energy, the calculation gives -4.28 eV per atom. Its formation energy is 93.23 kJ per mole of atoms.

abc: 10.1454 10.1454 10.1454
angles: 21.25 21.25 21.25
Closest atoms and distances in Å follow each position.
Fractional positions:
Fe1 0.2500 0.2500 0.2500  6 Sr 3.21
Mn1 0.7500 0.7500 0.7500  6 Sr 3.36, 6 Mn 3.74
Sr1 0.9966 0.9966 0.9966  3 Fe 3.21, 3 Mn 3.36
Sr2 0.5034 0.5034 0.5034  3 Fe 3.21, 3 Mn 3.36

11.
PrSm3Ga: relaxed, PBE.

Values from the calculation:
The polymorph energy (0 for the lowest one) is 0.139 eV/atom. As for the symmetry: C2/m. For the energy, the calculation gives -4.46 eV per atom. Its formation energy is -6.44 kJ per mole of atoms.

abc: 7.6188 7.6188 7.5988
angles: 104.54 117.85 106.48
Closest atoms and distances in Å follow each position.
Fractional positions:
Pr1 0.7273 0.0576 0.7848  2 Ga 3.00-3.35
Pr2 0.2727 0.9424 0.2152  2 Ga 3.00-3.35
Sm1 0.8469 0.0870 0.3144  2 Ga 2.93-3.15
Sm2 0.2274 0.4675 0.3144  2 Ga 2.93-3.15
Sm3 0.7726 0.5325 0.6856  2 Ga 2.93-3.15
Sm4 0.7013 0.4358 0.1371  2 Ga 2.95-3.09
Sm5 0.1531 0.9130 0.6856  2 Ga 2.93-3.15
Sm6 0.2987 0.5642 0.8629  2 Ga 2.95-3.09
Ga1 0.6293 0.7461 0.3754  6 Sm 2.93-3.15, 1 Pr 3.00
Ga2 0.3707 0.2539 0.6246  6 Sm 2.93-3.15, 1 Pr 3.00

12.
NbWN: relaxed, PBE.

Values from the calculation:
As for the symmetry: P3m1. For the energy, the calculation gives -10.77 eV per atom. The uncorrected formation energy is -94 kJ/mol of formula units.

abc: 4.7835 3.0904 3.0904
angles: 120.00 90.00 90.00
Closest atoms and distances in Å follow each position.
Fractional positions:
Nb1 0.7400 0.6667 0.3333  3 N 2.20
W1 0.2505 0.3333 0.6667  3 N 2.12
N1 0.0095 0.0000 0.0000  3 W 2.12, 3 Nb 2.20

13.
Mg2Ga2Pd3: relaxed, PBE.

Values from the calculation:
The polymorph energy (0 for the lowest one) is 0.045 eV/atom. As for the symmetry: C2/m. For the energy, the calculation gives -4.14 eV per atom. Its formation energy is -57.24 kJ per mole of atoms.

abc: 4.4237 5.2614 5.3438
angles: 87.81 114.45 90.00
Closest atoms and distances in Å follow each position.
Fractional positions:
Mg1 0.5845 0.7461 0.1690  6 Pd 2.69-2.98, 3 Ga 2.84-2.89
Mg2 0.4155 0.2539 0.8310  6 Pd 2.69-2.98, 3 Ga 2.84-2.89
Ga1 0.8682 0.5988 0.7363  4 Pd 2.52-2.63, 1 Ga 2.73
Ga2 0.1318 0.4012 0.2637  4 Pd 2.52-2.63, 1 Ga 2.73
Pd1 0.0000 0.0000 0.0000  2 Ga 2.52, 4 Mg 2.69
Pd2 0.7139 0.2012 0.4279  3 Ga 2.56-2.63, 1 Mg 2.75
Pd3 0.2861 0.7988 0.5721  3 Ga 2.56-2.63, 1 Mg 2.75

14.
Tb3Nd2Ho3: relaxed, PBE.

Values from the calculation:
The polymorph energy (0 for the lowest one) is 0.212 eV/atom. As for the symmetry: R32. For the energy, the calculation gives -4.41 eV per atom. Its formation energy is 22.43 kJ per mole of atoms.

abc: 6.3947 6.3947 6.3947
angles: 90.04 90.04 89.96
Closest atoms and distances in Å follow each position.
Fractional positions:
Tb1 0.2522 0.7478 0.0000  2 Ho 3.20, 2 Nd 3.56
Tb2 0.0000 0.2522 0.2522  2 Ho 3.20, 2 Nd 3.56
Tb3 0.7478 0.0000 0.7478  2 Ho 3.20, 2 Nd 3.56
Nd1 0.2509 0.2509 0.7491  6 Ho 3.56-3.59, 6 Tb 3.56-3.60
Nd2 0.7491 0.7491 0.2509  6 Ho 3.56-3.59, 6 Tb 3.56-3.60
Ho1 0.2519 0.7481 0.5000  2 Tb 3.20, 2 Nd 3.56
Ho2 0.5000 0.2519 0.2519  2 Tb 3.20, 2 Nd 3.56
Ho3 0.7481 0.5000 0.7481  2 Tb 3.20, 2 Nd 3.56

15.
Cd2AsP: relaxed, PBE.

Values from the calculation:
The polymorph energy (0 for the lowest one) is 0.094 eV/atom. As for the symmetry: Imm2. For the energy, the calculation gives -2.80 eV per atom. Its formation energy is 16.61 kJ per mole of atoms.

abc: 6.1676 6.1676 6.1676
angles: 147.21 136.89 55.20
Closest atoms and distances in Å follow each position.
Fractional positions:
Cd1 0.9743 0.9743 0.0000  4 P 2.94, 2 Cd 3.05
Cd2 0.2875 0.7875 0.5000  4 As 3.01, 2 Cd 3.05, 2 P 3.25
As1 0.6996 0.1996 0.5000  2 P 2.48
P1 0.5386 0.5386 0.0000  2 As 2.48

16.
Mg2FeP: relaxed, PBE.

Values from the calculation:
As for the symmetry: I-4m2. For the energy, the calculation gives -4.25 eV per atom. Its formation energy is 1.60 kJ per mole of atoms.

abc: 5.0288 5.0288 5.0288
angles: 135.28 135.28 65.10
Closest atoms and distances in Å follow each position.
Fractional positions:
Fe1 0.7500 0.2500 0.5000  8 Mg 2.71-2.86, 4 P 2.86
Mg1 0.0000 0.0000 0.0000  4 P 2.71, 4 Fe 2.86, 4 Mg 2.86
Mg2 0.2500 0.7500 0.5000  4 Fe 2.71, 4 Mg 2.86, 4 P 2.86
P1 0.5000 0.5000 0.0000  8 Mg 2.71-2.86, 4 Fe 2.86

17.
Er3BiC2: relaxed, PBE.

Values from the calculation:
As for the symmetry: P2_1/m. For the energy, the calculation gives -6.21 eV per atom. Its formation energy is -19.88 kJ per mole of atoms.

abc: 3.6377 6.4797 11.0421
angles: 77.87 90.00 90.00
Closest atoms and distances in Å follow each position.
Fractional positions:
Er1 0.7500 0.0365 0.1293  4 C 2.50-2.64
Er2 0.2500 0.9635 0.8707  4 C 2.50-2.64
Er3 0.7500 0.4473 0.8905  3 C 2.43-2.44
Er4 0.2500 0.5527 0.1095  3 C 2.43-2.44
Er5 0.2500 0.1988 0.4153  3 C 2.34-2.58
Er6 0.7500 0.8012 0.5847  3 C 2.34-2.58
Bi1 0.2500 0.7327 0.3487  2 C 2.59
Bi2 0.7500 0.2673 0.6513  2 C 2.59
C1 0.2500 0.2519 0.0079  6 Er 2.43-2.64
C2 0.7500 0.7481 0.9921  6 Er 2.43-2.64
C3 0.7500 0.0121 0.3592  4 Er 2.34-2.58, 2 Bi 2.59
C4 0.2500 0.9879 0.6408  4 Er 2.34-2.58, 2 Bi 2.59

18.
PrSmBr4: relaxed, PBE.

Values from the calculation:
The polymorph energy (0 for the lowest one) is 0.000 eV/atom. As for the symmetry: Imma. For the energy, the calculation gives -4.33 eV per atom. The uncorrected formation energy is -946 kJ/mol of formula units.

abc: 8.0733 8.2341 8.1748
angles: 120.24 119.59 90.00
Closest atoms and distances in Å follow each position.
Fractional positions:
Pr1 0.5000 0.0000 0.5000  6 Br 3.02
Pr2 0.0000 0.0000 0.5000  6 Br 3.02
Sm1 0.5000 0.5000 0.0000  6 Br 2.95-2.96
Sm2 0.5000 0.0000 0.0000  6 Br 2.95-2.96
Br1 0.7542 0.7317 0.5085  1 Sm 2.95, 2 Pr 3.02
Br2 0.2262 0.7393 0.9787  2 Sm 2.96, 1 Pr 3.02
Br3 0.7525 0.7393 0.9787  2 Sm 2.96, 1 Pr 3.02
Br4 0.7542 0.2768 0.5085  1 Sm 2.95, 2 Pr 3.02
Br5 0.2458 0.7232 0.4915  1 Sm 2.95, 2 Pr 3.02
Br6 0.7738 0.2607 0.0213  2 Sm 2.96, 1 Pr 3.02
Br7 0.2475 0.2607 0.0213  2 Sm 2.96, 1 Pr 3.02
Br8 0.2458 0.2683 0.4915  1 Sm 2.95, 2 Pr 3.02

19.
ZrBr2Cl: relaxed, PBE.

Values from the calculation:
The polymorph energy (0 for the lowest one) is 0.651 eV/atom. As for the symmetry: R-3m. For the energy, the calculation gives -4.20 eV per atom. The uncorrected formation energy is -296 kJ/mol of formula units.

abc: 10.3226 10.3226 10.3226
angles: 19.78 19.78 19.78
Closest atoms and distances in Å follow each position.
Fractional positions:
Br1 0.8942 0.8942 0.8942  3 Zr 2.76
Br2 0.1058 0.1058 0.1058  3 Zr 2.76
Zr1 0.5000 0.5000 0.5000  6 Br 2.76
Cl1 0.0000 0.0000 0.0000  2 Br 3.21, 6 Cl 3.55

20.
PuZnOsO6: relaxed, PBE.

Values from the calculation:
As for the symmetry: P-31c. For the energy, the calculation gives -7.95 eV per atom. The uncorrected formation energy is -1442 kJ/mol of formula units.

abc: 5.2553 5.2553 9.2167
angles: 90.00 90.00 120.00
Closest atoms and distances in Å follow each position.
Fractional positions:
Pu1 0.6667 0.3333 0.2500  6 O 2.14
Pu2 0.3333 0.6667 0.7500  6 O 2.14
Zn1 0.0000 0.0000 0.0000  6 O 2.15
Zn2 0.0000 0.0000 0.5000  6 O 2.15
Os1 0.3333 0.6667 0.2500  6 O 1.98
Os2 0.6667 0.3333 0.7500  6 O 1.98
O1 0.6477 0.6722 0.1297  1 Os 1.98, 1 Pu 2.14, 1 Zn 2.15
O2 0.0245 0.3523 0.1297  1 Os 1.98, 1 Pu 2.14, 1 Zn 2.15
O3 0.3523 0.0245 0.6297  1 Os 1.98, 1 Pu 2.14, 1 Zn 2.15
O4 0.9755 0.6477 0.8703  1 Os 1.98, 1 Pu 2.14, 1 Zn 2.15
O5 0.3278 0.3523 0.3703  1 Os 1.98, 1 Pu 2.14, 1 Zn 2.15
O6 0.0245 0.6722 0.3703  1 Os 1.98, 1 Pu 2.14, 1 Zn 2.15
O7 0.6722 0.0245 0.8703  1 Os 1.98, 1 Pu 2.14, 1 Zn 2.15
O8 0.6477 0.9755 0.3703  1 Os 1.98, 1 Pu 2.14, 1 Zn 2.15
O9 0.9755 0.3278 0.6297  1 Os 1.98, 1 Pu 2.14, 1 Zn 2.15
O10 0.3278 0.9755 0.1297  1 Os 1.98, 1 Pu 2.14, 1 Zn 2.15
O11 0.6722 0.6477 0.6297  1 Os 1.98, 1 Pu 2.14, 1 Zn 2.15
O12 0.3523 0.3278 0.8703  1 Os 1.98, 1 Pu 2.14, 1 Zn 2.15